Material: CsTlAu2Se
Method: DFT, GGA-PBE
State: relaxed

Computed properties:
Formation energy (no corrections): -0.0182 eV/atom

a = 5.338 Å, b = 5.338 Å, c = 6.051 Å
α = 90.00°, β = 90.00°, γ = 90.00°
Space group P4/mmm (No. 123)
Unique sites:
Cs 0.000 0.000 0.000 (multiplicity 1)
Tl 0.500 0.500 0.000 (multiplicity 1)
Au 0.000 0.500 0.500 (multiplicity 2)
Se 0.500 0.500 0.500 (multiplicity 1)

Material: Pr2Ho7In2
Method: DFT, GGA-PBE
State: relaxed

Computed properties:
ΔH_f (0 K): 139.5 meV/atom

a = 6.715 Å, b = 11.739 Å, c = 9.096 Å
α = 90.00°, β = 90.00°, γ = 90.00°
Space group Cmmm (No. 65)
Unique sites:
Pr 0.237 0.000 0.000 (multiplicity 4)
Ho 0.000 0.000 0.500 (multiplicity 2)
Ho 0.000 0.500 0.317 (multiplicity 4)
Ho 0.250 0.250 0.205 (multiplicity 8)
In 0.000 0.271 0.500 (multiplicity 4)

Material: Al3OsS
Method: DFT, GGA-PBE
State: relaxed

Computed properties:
Formation energy (no corrections): 0.8356 eV/atom

a = 4.423 Å, b = 4.423 Å, c = 4.423 Å
α = 90.00°, β = 90.00°, γ = 90.00°
Space group Pm-3m (No. 221)
Unique sites:
Al 0.000 0.000 0.500 (multiplicity 3)
Os 0.500 0.500 0.500 (multiplicity 1)
S 0.000 0.000 0.000 (multiplicity 1)

Material: TaCr5Ir6
Method: DFT, GGA-PBE
State: relaxed

Computed properties:
ΔH_f (0 K): -258.8 meV/atom

a = 4.625 Å, b = 5.449 Å, c = 6.587 Å
α = 90.00°, β = 91.54°, γ = 90.00°
Space group P2/m (No. 10)
Unique sites:
Ta 0.000 0.000 0.000 (multiplicity 1)
Cr 0.000 0.500 0.000 (multiplicity 1)
Cr 0.335 0.500 0.672 (multiplicity 2)
Cr 0.353 0.000 0.653 (multiplicity 2)
Ir 0.174 0.254 0.341 (multiplicity 4)
Ir 0.500 0.257 0.000 (multiplicity 2)

Material: BeFe2Re
Method: DFT, GGA-PBE
State: relaxed

Computed properties:
ΔH_f (0 K): -2.0 meV/atom

a = 8.791 Å, b = 2.859 Å, c = 3.925 Å
α = 90.00°, β = 116.39°, γ = 90.00°
Space group C2/m (No. 12)
Unique sites:
Be 0.000 0.000 0.000 (multiplicity 2)
Fe 0.237 0.500 0.237 (multiplicity 4)
Re 0.000 0.500 0.500 (multiplicity 2)

Material: Mg4CdMo
Method: DFT, GGA-PBE
State: relaxed

Computed properties:
ΔH_f (0 K): 491.7 meV/atom

a = 7.966 Å, b = 7.966 Å, c = 7.966 Å
α = 90.00°, β = 90.00°, γ = 90.00°
Space group F-43m (No. 216)
Unique sites:
Mg 0.125 0.125 0.125 (multiplicity 16)
Cd 0.000 0.000 0.500 (multiplicity 4)
Mo 0.250 0.250 0.750 (multiplicity 4)

Material: CaMgSe2
Method: DFT, GGA-PBE
State: relaxed

Computed properties:
Formation energy (no corrections): -1.2675 eV/atom

a = 4.015 Å, b = 7.148 Å, c = 7.526 Å
α = 90.00°, β = 90.00°, γ = 90.00°
Space group Cmmm (No. 65)
Unique sites:
Ca 0.000 0.000 0.000 (multiplicity 2)
Mg 0.000 0.000 0.500 (multiplicity 2)
Se 0.000 0.500 0.266 (multiplicity 4)

Material: La4PPdCl2
Method: DFT, GGA-PBE
State: relaxed

Computed properties:
Formation energy (no corrections): -1.4206 eV/atom

a = 7.263 Å, b = 4.184 Å, c = 7.566 Å
α = 90.00°, β = 108.80°, γ = 90.00°
Space group P2/m (No. 10)
Unique sites:
La 0.233 0.000 0.247 (multiplicity 2)
La 0.236 0.500 0.736 (multiplicity 2)
P 0.000 0.000 0.500 (multiplicity 1)
Pd 0.000 0.500 0.000 (multiplicity 1)
Cl 0.500 0.000 0.000 (multiplicity 1)
Cl 0.500 0.500 0.500 (multiplicity 1)

no.,energy (eV per atom)
1,-2.670
2,-4.141
3,-4.481
4,-9.687
5,-8.277
6,-2.529
7,-3.909
8,-5.671